Record 1
Compound: PrErPdPb
Source: Alexandria via LeMat-Bulk
Functional: PBE
Structure: relaxed

Cell and atoms, written as CIF:
```
data_PrErPdPb
_chemical_formula_sum 'Pr4 Er4 Pd4 Pb4'
_cell_length_a 7.491
_cell_length_b 7.491
_cell_length_c 7.491
_cell_angle_alpha 90.00
_cell_angle_beta 90.00
_cell_angle_gamma 90.00
_symmetry_space_group_name_H-M 'F -4 3 m'
_symmetry_Int_Tables_number 216
_symmetry_space_group_name_Hall 'F -4 2 3'
loop_
_atom_site_label
_atom_site_type_symbol
_atom_site_fract_x
_atom_site_fract_y
_atom_site_fract_z
Pr1 Pr 0.000 0.000 0.000
Er1 Er 0.000 0.000 0.500
Pd1 Pd 0.250 0.250 0.250
Pb1 Pb 0.250 0.250 0.750
```


Record 2
Compound: ErPuPdPb
Source: Alexandria via LeMat-Bulk
Functional: PBE
Structure: relaxed

Cell and atoms, written as CIF:
```
data_ErPuPdPb
_chemical_formula_sum 'Er4 Pu4 Pd4 Pb4'
_cell_length_a 7.382
_cell_length_b 7.382
_cell_length_c 7.382
_cell_angle_alpha 90.00
_cell_angle_beta 90.00
_cell_angle_gamma 90.00
_symmetry_space_group_name_H-M 'F -4 3 m'
_symmetry_Int_Tables_number 216
_symmetry_space_group_name_Hall 'F -4 2 3'
loop_
_atom_site_label
_atom_site_type_symbol
_atom_site_fract_x
_atom_site_fract_y
_atom_site_fract_z
Er1 Er 0.000 0.000 0.000
Pu1 Pu 0.000 0.000 0.500
Pd1 Pd 0.250 0.250 0.750
Pb1 Pb 0.250 0.250 0.250
```


Record 3
Compound: ErPdRuPb
Source: Alexandria via LeMat-Bulk
Functional: PBE
Structure: relaxed

Cell and atoms, written as CIF:
```
data_ErPdRuPb
_chemical_formula_sum 'Er4 Pd4 Ru4 Pb4'
_cell_length_a 6.754
_cell_length_b 6.754
_cell_length_c 6.754
_cell_angle_alpha 90.00
_cell_angle_beta 90.00
_cell_angle_gamma 90.00
_symmetry_space_group_name_H-M 'F -4 3 m'
_symmetry_Int_Tables_number 216
_symmetry_space_group_name_Hall 'F -4 2 3'
loop_
_atom_site_label
_atom_site_type_symbol
_atom_site_fract_x
_atom_site_fract_y
_atom_site_fract_z
Er1 Er 0.000 0.000 0.000
Pd1 Pd 0.250 0.250 0.750
Ru1 Ru 0.250 0.250 0.250
Pb1 Pb 0.000 0.000 0.500
```


Record 4
Compound: Er5PdRu2Pb2
Source: Alexandria via LeMat-Bulk
Functional: PBE
Structure: relaxed

Cell and atoms, written as CIF:
```
data_Er5PdRu2Pb2
_chemical_formula_sum 'Er10 Pd2 Ru4 Pb4'
_cell_length_a 11.632
_cell_length_b 11.632
_cell_length_c 3.548
_cell_angle_alpha 90.00
_cell_angle_beta 90.00
_cell_angle_gamma 90.00
_symmetry_space_group_name_H-M 'P 4/m b m'
_symmetry_Int_Tables_number 127
_symmetry_space_group_name_Hall '-P 4 2ab'
loop_
_atom_site_label
_atom_site_type_symbol
_atom_site_fract_x
_atom_site_fract_y
_atom_site_fract_z
Er1 Er 0.000 0.500 0.000
Er2 Er 0.070 0.200 0.000
Pd1 Pd 0.000 0.000 0.500
Ru1 Ru 0.135 0.365 0.500
Pb1 Pb 0.176 0.676 0.500
```


Record 5
Compound: SmErPdPb
Source: Alexandria via LeMat-Bulk
Functional: PBE
Structure: relaxed

Cell and atoms, written as CIF:
```
data_SmErPdPb
_chemical_formula_sum 'Sm4 Er4 Pd4 Pb4'
_cell_length_a 7.413
_cell_length_b 7.413
_cell_length_c 7.413
_cell_angle_alpha 90.00
_cell_angle_beta 90.00
_cell_angle_gamma 90.00
_symmetry_space_group_name_H-M 'F -4 3 m'
_symmetry_Int_Tables_number 216
_symmetry_space_group_name_Hall 'F -4 2 3'
loop_
_atom_site_label
_atom_site_type_symbol
_atom_site_fract_x
_atom_site_fract_y
_atom_site_fract_z
Sm1 Sm 0.000 0.000 0.000
Er1 Er 0.000 0.000 0.500
Pd1 Pd 0.250 0.250 0.750
Pb1 Pb 0.250 0.250 0.250
```


Record 6
Compound: Sr2ErPd4Pb3
Source: Alexandria via LeMat-Bulk
Functional: PBE
Structure: relaxed

Cell and atoms, written as CIF:
```
data_Sr2ErPd4Pb3
_chemical_formula_sum 'Sr2 Er1 Pd4 Pb3'
_cell_length_a 4.727
_cell_length_b 4.727
_cell_length_c 11.511
_cell_angle_alpha 90.00
_cell_angle_beta 90.00
_cell_angle_gamma 90.00
_symmetry_space_group_name_H-M 'P -4 m 2'
_symmetry_Int_Tables_number 115
_symmetry_space_group_name_Hall 'P -4 -2'
loop_
_atom_site_label
_atom_site_type_symbol
_atom_site_fract_x
_atom_site_fract_y
_atom_site_fract_z
Sr1 Sr 0.000 0.500 0.227
Er1 Er 0.000 0.000 0.500
Pd1 Pd 0.000 0.000 0.000
Pd2 Pd 0.000 0.500 0.639
Pd3 Pd 0.500 0.500 0.000
Pb1 Pb 0.000 0.500 0.876
Pb2 Pb 0.500 0.500 0.500
```


Record 7
Compound: TbErPdPb
Source: Alexandria via LeMat-Bulk
Functional: PBE
Structure: relaxed

Cell and atoms, written as CIF:
```
data_TbErPdPb
_chemical_formula_sum 'Tb4 Er4 Pd4 Pb4'
_cell_length_a 7.354
_cell_length_b 7.354
_cell_length_c 7.354
_cell_angle_alpha 90.00
_cell_angle_beta 90.00
_cell_angle_gamma 90.00
_symmetry_space_group_name_H-M 'F -4 3 m'
_symmetry_Int_Tables_number 216
_symmetry_space_group_name_Hall 'F -4 2 3'
loop_
_atom_site_label
_atom_site_type_symbol
_atom_site_fract_x
_atom_site_fract_y
_atom_site_fract_z
Tb1 Tb 0.000 0.000 0.000
Er1 Er 0.000 0.000 0.500
Pd1 Pd 0.250 0.250 0.750
Pb1 Pb 0.250 0.250 0.250
```


Record 8
Compound: ErTmPdPb
Source: Alexandria via LeMat-Bulk
Functional: PBE
Structure: relaxed

Cell and atoms, written as CIF:
```
data_ErTmPdPb
_chemical_formula_sum 'Er4 Tm4 Pd4 Pb4'
_cell_length_a 7.295
_cell_length_b 7.295
_cell_length_c 7.295
_cell_angle_alpha 90.00
_cell_angle_beta 90.00
_cell_angle_gamma 90.00
_symmetry_space_group_name_H-M 'F -4 3 m'
_symmetry_Int_Tables_number 216
_symmetry_space_group_name_Hall 'F -4 2 3'
loop_
_atom_site_label
_atom_site_type_symbol
_atom_site_fract_x
_atom_site_fract_y
_atom_site_fract_z
Er1 Er 0.000 0.000 0.000
Tm1 Tm 0.000 0.000 0.500
Pd1 Pd 0.250 0.250 0.750
Pb1 Pb 0.250 0.250 0.250
```


Number 1: E_tot -5.1384 eV per atom. Number 2: E_tot -7.3067 eV per atom. Number 3: E_tot -6.0289 eV per atom. Number 4: E_tot -5.8656 eV per atom. Number 5: E_tot -5.1466 eV per atom. Number 6: E_tot -4.5576 eV per atom. Number 7: E_tot -5.1395 eV per atom. Number 8: E_tot -5.1003 eV per atom.